Record 1
A plane-wave DFT calculation with PBE was carried out for a relaxed Nd3Y4Er5 crystal.

Cell: 6.1652 7.1615 9.4292 Å, 101.01 108.55 90.08°
With the nearest neighbours (Å) after each atom.
Positions (direct):
1 Nd 0.0000 0.0000 0.0000  8 Er 3.56-3.58, 4 Y 3.58
2 Nd 0.4981 0.5820 0.3308  6 Er 3.54-3.61, 5 Y 3.56-3.59, 1 Nd 3.60
3 Nd 0.5019 0.4180 0.6692  6 Er 3.54-3.61, 5 Y 3.56-3.59, 1 Nd 3.60
4 Y 0.9999 0.1677 0.6662  3 Nd 3.56-3.58, 5 Er 3.56-3.60, 4 Y 3.57-3.59
5 Y 0.0001 0.8323 0.3338  3 Nd 3.56-3.58, 5 Er 3.56-3.60, 4 Y 3.57-3.59
6 Y 0.4993 0.0836 0.3321  4 Er 3.55-3.57, 4 Y 3.57-3.59, 4 Nd 3.57-3.59
7 Y 0.5007 0.9164 0.6679  4 Er 3.55-3.57, 4 Y 3.57-3.59, 4 Nd 3.57-3.59
8 Er 0.9996 0.3339 0.3329  4 Nd 3.55-3.61, 5 Y 3.56-3.59, 3 Er 3.56-3.57
9 Er 0.0000 0.5000 0.0000  6 Er 3.55-3.58, 4 Nd 3.56-3.58, 2 Y 3.56
10 Er 0.0004 0.6661 0.6671  4 Nd 3.55-3.61, 5 Y 3.56-3.59, 3 Er 3.56-3.57
11 Er 0.4979 0.7495 0.9990  4 Nd 3.54-3.57, 5 Er 3.55-3.58, 3 Y 3.55-3.60
12 Er 0.5021 0.2505 0.0010  4 Nd 3.54-3.57, 5 Er 3.55-3.58, 3 Y 3.55-3.60

## Properties
DFT formation energy   0.019 eV per atom
Energy above the lowest structure with this stoichiometry   0 meV per atom
Spin magnetization   0.0 Bohr magnetons per cell

***

Record 2
A plane-wave DFT calculation with PBE was carried out for a relaxed K2Na2NpS4 crystal.

Cell: 7.7264 7.7264 10.4885 Å, 125.51 125.51 31.87°
With the nearest neighbours (Å) after each atom.
Positions (direct):
1 K 0.1797 0.1797 0.2984  5 S 3.12-3.28
2 K 0.8203 0.8203 0.7016  5 S 3.12-3.28
3 Na 0.3517 0.3517 0.1189  4 S 2.72-2.81
4 Na 0.6483 0.6483 0.8811  4 S 2.72-2.81
5 Np 0.0000 0.0000 0.5000  6 S 2.70-2.78
6 S 0.2078 0.2078 0.7826  1 Np 2.70, 3 Na 2.73-2.81
7 S 0.4357 0.4357 0.6004  1 Na 2.72, 2 Np 2.78
8 S 0.5643 0.5643 0.3996  1 Na 2.72, 2 Np 2.78
9 S 0.7922 0.7922 0.2174  1 Np 2.70, 3 Na 2.73-2.81

## Properties
Spin magnetization   3.0 Bohr magnetons per cell
Formation energy from raw total energies   -1.22 eV/atom

***

Record 3
A plane-wave DFT calculation with PBE was carried out for a relaxed SrMgRhPb2 crystal.

Cell: 5.3588 5.3588 5.0174 Å, 90.00 90.00 90.00°
With the nearest neighbours (Å) after each atom.
Positions (direct):
1 Sr 0.0000 0.0000 0.0000  8 Pb 3.67, 4 Mg 3.79
2 Mg 0.5000 0.5000 0.0000  2 Rh 2.51
3 Rh 0.5000 0.5000 0.5000  2 Mg 2.51, 4 Pb 2.68
4 Pb 0.0000 0.5000 0.5000  2 Rh 2.68
5 Pb 0.5000 0.0000 0.5000  2 Rh 2.68

## Properties
DFT formation energy   -0.228 eV per atom
Spin magnetization   0.0 Bohr magnetons per cell